{
  "formula": "PaNbCo2O8",
  "functional": "PBE with a Hubbard U",
  "state": "optimized geometry",
  "total_energy_ev_per_atom": -7.80,
  "vol_a3_per_fu": 150.5,
  "lattice_angstrom": [[5.7956, 0.3120, 0.0000], [-2.2908, 5.3327, 0.0000], [-1.7524, -2.8224, 4.7591]],
  "species": ["O", "O", "O", "Co", "Co", "O", "Nb", "O", "O", "O", "O", "Pa"],
  "fractional_positions": [[0.9436, 0.2440, 0.3004], [0.8888, 0.7087, 0.1802], [0.2913, 0.1112, 0.8198], [0.5000, 0.5000, 0.0000], [0.7500, 0.2500, 0.5000], [0.5285, 0.7087, 0.8198], [0.0000, 0.0000, 0.0000], [0.9436, 0.6432, 0.6996], [0.3568, 0.0564, 0.3004], [0.2913, 0.4715, 0.1802], [0.7560, 0.0564, 0.6996], [0.2500, 0.7500, 0.5000]]
}

{
  "formula": "NbTe2WO",
  "functional": "PBE with a Hubbard U",
  "state": "optimized geometry",
  "total_energy_ev_per_atom": -5.40,
  "vol_a3_per_fu": 107.4,
  "dos_at_fermi_per_ev_cell": 2.7,
  "lattice_angstrom": [[-4.3093, 2.9700, -0.4305], [-2.0834, -2.7642, 1.7845], [1.0554, 2.2050, 4.6476]],
  "species": ["Nb", "W", "O", "Te", "Te"],
  "fractional_positions": [[0.0000, 0.5000, 0.0000], [0.5000, 0.5000, 0.5000], [0.0000, 0.0000, 0.0000], [0.0000, 0.0000, 0.5000], [0.5000, 0.0000, 0.0000]]
}